[1]
VASP calculation (PBE-GGA) on a relaxed structure of LiZnAgSn.

Unit cell a=4.6681 b=4.6681 c=4.6681 alpha=60.00 beta=60.00 gamma=60.00
With the nearest neighbours (Å) after each atom.
Fractional coordinates of all 4 atoms:
1 Zn 0.2500 0.2500 0.2500  4 Ag 2.86, 4 Sn 2.86
2 Li 0.7500 0.7500 0.7500  4 Sn 2.86, 4 Ag 2.86
3 Sn 0.0000 0.0000 0.0000  4 Zn 2.86, 4 Li 2.86
4 Ag 0.5000 0.5000 0.5000  4 Zn 2.86, 4 Li 2.86

Properties
The calculation puts the uncorrected energy at -2.6499 eV per atom. The relative energy among the computed polymorphs comes out at 0.0000 eV per atom. As for the space group: No. 216.

***

[2]
VASP calculation (PBE-GGA) on a relaxed structure of Li2ZnAg4Sn.

Unit cell a=4.5431 b=4.5431 c=6.6371 alpha=90.00 beta=90.00 gamma=90.00
With the nearest neighbours (Å) after each atom.
Fractional coordinates of all 8 atoms:
1 Li 0.5000 0.5000 0.0000  8 Ag 2.89, 4 Sn 3.21
2 Li 0.0000 0.0000 0.5000  8 Ag 2.74
3 Sn 0.0000 0.0000 0.0000  8 Ag 2.89, 4 Li 3.21
4 Ag 0.5000 0.0000 0.7297  4 Li 2.74-2.89, 2 Zn 2.74, 2 Sn 2.89, 1 Ag 3.05
5 Ag 0.0000 0.5000 0.2703  4 Li 2.74-2.89, 2 Zn 2.74, 2 Sn 2.89, 1 Ag 3.05
6 Ag 0.5000 0.0000 0.2696  2 Zn 2.74, 4 Li 2.74-2.89, 2 Sn 2.89, 1 Ag 3.05
7 Ag 0.0000 0.5000 0.7304  4 Li 2.74-2.89, 2 Zn 2.74, 2 Sn 2.89, 1 Ag 3.05
8 Zn 0.5000 0.5000 0.5000  8 Ag 2.74

Properties
The calculation puts the uncorrected energy at -2.7644 eV per atom. As for the space group: No. 123.

***

[3]
VASP calculation (PBE-GGA) on a relaxed structure of LiZnAgSn.

Unit cell a=4.7103 b=4.7103 c=4.7103 alpha=60.00 beta=60.00 gamma=60.00
With the nearest neighbours (Å) after each atom.
Fractional coordinates of all 4 atoms:
1 Li 0.7500 0.7500 0.7500  4 Ag 2.88, 4 Zn 2.88
2 Sn 0.2500 0.2500 0.2500  4 Ag 2.88, 4 Zn 2.88
3 Zn 0.0000 0.0000 0.0000  4 Li 2.88, 4 Sn 2.88
4 Ag 0.5000 0.5000 0.5000  4 Li 2.88, 4 Sn 2.88

Properties
The calculation puts the uncorrected energy at -2.6476 eV per atom. The relative energy among the computed polymorphs comes out at 0.0023 eV per atom. As for the space group: No. 216.

***

[4]
VASP calculation (PBE-GGA) on a relaxed structure of Li4ZnAg2Sn.

Unit cell a=4.5071 b=4.5071 c=6.3873 alpha=90.00 beta=90.00 gamma=90.00
With the nearest neighbours (Å) after each atom.
Fractional coordinates of all 8 atoms:
1 Ag 0.0000 0.5000 0.2651  5 Li 2.71-2.99, 2 Zn 2.71, 2 Sn 2.82
2 Ag 0.5000 0.0000 0.7349  5 Li 2.71-2.99, 2 Zn 2.71, 2 Sn 2.82
3 Sn 0.0000 0.0000 0.0000  4 Ag 2.82, 4 Li 2.83
4 Li 0.5000 0.0000 0.2668  4 Li 2.70-2.83, 2 Zn 2.70, 2 Sn 2.83, 1 Ag 2.99
5 Li 0.5000 0.5000 0.0000  4 Ag 2.82, 4 Li 2.83
6 Li 0.0000 0.5000 0.7332  2 Zn 2.70, 4 Li 2.70-2.83, 2 Sn 2.83, 1 Ag 2.99
7 Li 0.0000 0.0000 0.5000  4 Li 2.70, 4 Ag 2.71
8 Zn 0.5000 0.5000 0.5000  4 Li 2.70, 4 Ag 2.71

Properties
The calculation puts the uncorrected energy at -2.6086 eV per atom. As for the space group: No. 115.

***

[5]
VASP calculation (PBE-GGA) on a relaxed structure of Li4ZnAgSn2.

Unit cell a=4.5947 b=4.5947 c=6.4987 alpha=90.00 beta=90.00 gamma=90.00
With the nearest neighbours (Å) after each atom.
Fractional coordinates of all 8 atoms:
1 Li 0.0000 0.5000 0.7499  4 Li 2.81, 2 Zn 2.81, 2 Ag 2.81
2 Li 0.5000 0.5000 0.0000  4 Li 2.81, 4 Sn 2.83
3 Li 0.5000 0.0000 0.2501  4 Li 2.81, 2 Zn 2.81, 2 Ag 2.81
4 Li 0.0000 0.0000 0.5000  4 Sn 2.80, 4 Li 2.81
5 Sn 0.0000 0.5000 0.2546  4 Li 2.80-2.83, 2 Zn 2.80, 2 Ag 2.83
6 Sn 0.5000 0.0000 0.7454  4 Li 2.80-2.83, 2 Zn 2.80, 2 Ag 2.83
7 Zn 0.5000 0.5000 0.5000  4 Sn 2.80, 4 Li 2.81
8 Ag 0.0000 0.0000 0.0000  4 Li 2.81, 4 Sn 2.83

Properties
The calculation puts the uncorrected energy at -2.8313 eV per atom. As for the space group: No. 115.

***

[6]
VASP calculation (PBE-GGA) on a relaxed structure of Sr2Li3Ag2.

Unit cell a=6.1794 b=6.1794 c=7.9281 alpha=114.36 beta=114.36 gamma=42.11
With the nearest neighbours (Å) after each atom.
Fractional coordinates of all 7 atoms:
1 Li 0.3477 0.3477 0.0700  3 Ag 2.84-2.88, 3 Li 3.01-3.07
2 Li 0.5000 0.5000 0.5000  4 Ag 2.77, 2 Li 3.07
3 Li 0.6523 0.6523 0.9300  3 Ag 2.84-2.88, 3 Li 3.01-3.07
4 Sr 0.1365 0.1365 0.2712  4 Ag 3.26-3.38, 5 Li 3.45-3.64
5 Sr 0.8635 0.8635 0.7288  4 Ag 3.26-3.38, 5 Li 3.45-3.64
6 Ag 0.1365 0.1365 0.6981  5 Li 2.77-2.88
7 Ag 0.8635 0.8635 0.3019  5 Li 2.77-2.88

Properties
The calculation puts the uncorrected energy at -2.3004 eV per atom. As for the space group: No. 12.

***

[7]
VASP calculation (PBE-GGA) on a relaxed structure of SrLi2Ag2.

Unit cell a=6.8003 b=6.8003 c=6.8003 alpha=142.42 beta=142.42 gamma=54.19
With the nearest neighbours (Å) after each atom.
Fractional coordinates of all 5 atoms:
1 Ag 0.6148 0.6148 0.0000  4 Li 2.73, 1 Ag 2.78
2 Ag 0.3852 0.3852 0.0000  4 Li 2.73, 1 Ag 2.78
3 Li 0.2500 0.7500 0.5000  4 Ag 2.73
4 Li 0.7500 0.2500 0.5000  4 Ag 2.73
5 Sr 0.0000 0.0000 0.0000  8 Ag 3.40, 8 Li 3.74

Properties
The calculation puts the uncorrected energy at -2.4529 eV per atom. As for the space group: No. 139.

***

[8]
VASP calculation (PBE-GGA) on a relaxed structure of LiTaAg.

Unit cell a=4.3401 b=4.3401 c=4.3401 alpha=60.00 beta=60.00 gamma=60.00
With the nearest neighbours (Å) after each atom.
Fractional coordinates of all 3 atoms:
1 Ag 0.0000 0.0000 0.0000  4 Li 2.66, 4 Ta 2.66
2 Li 0.2500 0.2500 0.2500  4 Ag 2.66
3 Ta 0.7500 0.7500 0.7500  4 Ag 2.66

Properties
The calculation puts the uncorrected energy at -4.5942 eV per atom. The relative energy among the computed polymorphs comes out at 0.0000 eV per atom. As for the space group: No. 216.

***

[9]
VASP calculation (PBE-GGA) on a relaxed structure of LiTaAg2.

Unit cell a=4.5125 b=4.5125 c=4.5125 alpha=60.00 beta=60.00 gamma=60.00
With the nearest neighbours (Å) after each atom.
Fractional coordinates of all 4 atoms:
1 Ta 0.2500 0.2500 0.2500  4 Ag 2.76, 4 Li 2.76
2 Ag 0.0000 0.0000 0.0000  4 Ta 2.76, 4 Ag 2.76
3 Ag 0.7500 0.7500 0.7500  4 Ag 2.76, 4 Li 2.76
4 Li 0.5000 0.5000 0.5000  4 Ta 2.76, 4 Ag 2.76

Properties
The calculation puts the uncorrected energy at -4.4178 eV per atom. As for the space group: No. 216.

***

[10]
VASP calculation (PBE-GGA) on a relaxed structure of LiTaAgTe3.

Unit cell a=7.4016 b=7.4016 c=10.6488 alpha=90.00 beta=90.00 gamma=29.94
With the nearest neighbours (Å) after each atom.
Fractional coordinates of all 12 atoms:
1 Ta 0.0000 0.0000 0.0000  6 Te 2.84-3.04
2 Ta 0.0000 0.0000 0.5000  6 Te 2.84-3.04
3 Ag 0.4620 0.4620 0.2500  4 Te 2.70-2.78
4 Ag 0.5380 0.5380 0.7500  4 Te 2.70-2.78
5 Te 0.3561 0.3561 0.0401  1 Ag 2.70, 2 Ta 2.84
6 Te 0.3561 0.3561 0.4599  1 Ag 2.70, 2 Ta 2.84
7 Te 0.8969 0.8969 0.7500  2 Ag 2.78, 2 Ta 3.04
8 Te 0.6439 0.6439 0.5401  1 Ag 2.70, 2 Ta 2.84
9 Te 0.6439 0.6439 0.9599  1 Ag 2.70, 2 Ta 2.84
10 Te 0.1031 0.1031 0.2500  2 Ag 2.78, 2 Ta 3.04
11 Li 0.7897 0.7897 0.2500  6 Te 3.09-3.28, 2 Ag 3.12
12 Li 0.2103 0.2103 0.7500  6 Te 3.09-3.28, 2 Ag 3.12

Properties
The calculation puts the uncorrected energy at -4.5788 eV per atom. As for the space group: No. 63.

***

[11]
VASP calculation (PBE-GGA) on a relaxed structure of LiTbAg3Te4.

Unit cell a=6.5682 b=6.5682 c=6.5682 alpha=90.00 beta=90.00 gamma=90.00
With the nearest neighbours (Å) after each atom.
Fractional coordinates of all 9 atoms:
1 Te 0.2423 0.2423 0.2423  1 Li 2.76, 3 Ag 2.87, 1 Tb 2.93
2 Te 0.7577 0.2423 0.7577  1 Li 2.76, 3 Ag 2.87, 1 Tb 2.93
3 Te 0.7577 0.7577 0.2423  1 Li 2.76, 3 Ag 2.87, 1 Tb 2.93
4 Te 0.2423 0.7577 0.7577  1 Li 2.76, 3 Ag 2.87, 1 Tb 2.93
5 Tb 0.5000 0.5000 0.5000  4 Te 2.93
6 Ag 0.5000 0.5000 0.0000  4 Te 2.87
7 Ag 0.0000 0.5000 0.5000  4 Te 2.87
8 Ag 0.5000 0.0000 0.5000  4 Te 2.87
9 Li 0.0000 0.0000 0.0000  4 Te 2.76

Properties
The calculation puts the uncorrected energy at -3.6080 eV per atom. The relative energy among the computed polymorphs comes out at 0.0000 eV per atom. As for the space group: No. 215.

***

[12]
VASP calculation (PBE-GGA) on a relaxed structure of LiTbAg3Te4.

Unit cell a=6.6914 b=8.3862 c=9.8095 alpha=90.00 beta=95.93 gamma=90.00
With the nearest neighbours (Å) after each atom.
Fractional coordinates of all 18 atoms:
1 Ag 0.7345 0.2500 0.2903  3 Te 2.70-2.77
2 Ag 0.2797 0.5479 0.9756  4 Te 2.82-3.05, 2 Ag 3.05-3.10
3 Ag 0.2797 0.9521 0.9756  4 Te 2.82-3.05, 2 Ag 3.05-3.10
4 Ag 0.7203 0.4521 0.0244  4 Te 2.82-3.05, 2 Ag 3.05-3.10
5 Ag 0.7203 0.0479 0.0244  4 Te 2.82-3.05, 2 Ag 3.05-3.10
6 Ag 0.2655 0.7500 0.7097  3 Te 2.70-2.77
7 Te 0.0189 0.2500 0.9324  4 Ag 2.84-3.05, 1 Li 2.86, 1 Tb 3.00
8 Te 0.4966 0.0225 0.7511  3 Ag 2.77-2.94, 1 Li 2.85, 1 Tb 2.96
9 Te 0.9811 0.7500 0.0676  4 Ag 2.84-3.05, 1 Li 2.86, 1 Tb 3.00
10 Te 0.5034 0.9775 0.2489  3 Ag 2.77-2.94, 1 Li 2.85, 1 Tb 2.96
11 Te 0.0496 0.2500 0.4854  1 Ag 2.70, 1 Li 2.71, 1 Tb 2.95
12 Te 0.4966 0.4775 0.7511  3 Ag 2.77-2.94, 1 Li 2.85, 1 Tb 2.96
13 Te 0.9504 0.7500 0.5146  1 Ag 2.70, 1 Li 2.71, 1 Tb 2.95
14 Te 0.5034 0.5225 0.2489  3 Ag 2.77-2.94, 1 Li 2.85, 1 Tb 2.96
15 Li 0.2208 0.7500 0.3268  4 Te 2.71-2.86
16 Li 0.7792 0.2500 0.6732  4 Te 2.71-2.86
17 Tb 0.7797 0.7500 0.7800  4 Te 2.95-3.00
18 Tb 0.2203 0.2500 0.2200  4 Te 2.95-3.00

Properties
The calculation puts the uncorrected energy at -3.5377 eV per atom. The relative energy among the computed polymorphs comes out at 0.0703 eV per atom. As for the space group: No. 11.

***

[13]
VASP calculation (PBE-GGA) on a relaxed structure of LiTc2Ag.

Unit cell a=4.3603 b=4.3603 c=4.3603 alpha=60.00 beta=60.00 gamma=60.00
With the nearest neighbours (Å) after each atom.
Fractional coordinates of all 4 atoms:
1 Li 0.5000 0.5000 0.5000  4 Ag 2.67, 4 Tc 2.67
2 Tc 0.7500 0.7500 0.7500  4 Li 2.67, 4 Tc 2.67
3 Tc 0.0000 0.0000 0.0000  4 Ag 2.67, 4 Tc 2.67
4 Ag 0.2500 0.2500 0.2500  4 Li 2.67, 4 Tc 2.67

Properties
The calculation puts the uncorrected energy at -5.9827 eV per atom. As for the space group: No. 216.